AcTbCeEu: optimized geometry, PBE.

Results
**Energy of formation**: 0.25 eV/atom
**Total magnetic moment**: 9.5 μB/f.u.

```
AcTbCeEu
1.0
0.000 4.215 4.215
4.215 0.000 4.215
4.215 4.215 0.000
Ac Tb Ce Eu
1 1 1 1
Direct
0.000 0.000 0.000
0.500 0.500 0.500
0.750 0.750 0.750
0.250 0.250 0.250
```